# 1
DFT (PBE) results for Ce5Sb2H after structural relaxation.

Output
SG   I4mm (107)
DFT total energy   -0.417 Ry/atom

a b c (Å): 6.9099 6.9104 6.5638
angles (deg): 121.76 121.76 90.01
Site moments in Bohr magnetons follow the coordinates.
Fractional positions:
1 Ce 0.7517 0.2546 0.0063  0.78
2 Ce 0.2549 0.2549 0.0063  0.78
3 Ce 0.7515 0.7515 0.0064  0.78
4 Ce 0.2546 0.7517 0.0063  0.78
5 Ce 0.7456 0.7456 0.4911  0.78
6 Sb 0.2523 0.7522 0.5045  -0.02
7 Sb 0.7522 0.2523 0.5045  -0.02
8 H 0.0142 0.0142 0.0285  -0.01

# 2
DFT (PBE) results for Ce3Sb3H after structural relaxation.

Output
SG   C2/m (12)
DFT total energy   -0.408 Ry/atom

a b c (Å): 8.2076 8.2076 6.2341
angles (deg): 90.95 90.95 112.46
Site moments in Bohr magnetons follow the coordinates.
Fractional positions:
1 Ce 0.9183 0.9183 0.2303  0.85
2 Ce 0.8288 0.5543 0.7482  0.93
3 Ce 0.5543 0.8288 0.7482  0.93
4 Ce 0.1712 0.4457 0.2518  0.93
5 Ce 0.4457 0.1712 0.2518  0.93
6 Ce 0.0817 0.0817 0.7697  0.85
7 Sb 0.5919 0.5919 0.2649  -0.03
8 Sb 0.1939 0.8061 0.5000  -0.03
9 Sb 0.8061 0.1939 0.5000  -0.03
10 Sb 0.2034 0.7966 0.0000  -0.03
11 Sb 0.7966 0.2034 0.0000  -0.03
12 Sb 0.4081 0.4081 0.7351  -0.03
13 H 0.8317 0.8317 0.8578  -0.01
14 H 0.1683 0.1683 0.1422  -0.01

# 3
DFT (PBE) results for Ce5Sb2H4 after structural relaxation.

Output
SG   Fmmm (69)
Excess energy over the best structure of this formula in the dataset   0.030 eV/atom

a b c (Å): 6.4507 6.0061 7.3536
angles (deg): 76.38 63.98 57.52
Site moments in Bohr magnetons follow the coordinates.
Fractional positions:
1 Ce 0.5000 0.0000 0.0000  0.96
2 Ce 0.0000 0.5000 0.0000  0.97
3 Ce 0.5000 0.5000 0.0000  0.97
4 Ce 0.2500 0.5000 0.5000  1.12
5 Ce 0.7500 0.5000 0.5000  1.12
6 Sb 0.8668 0.0000 0.2664  -0.04
7 Sb 0.1332 0.0000 0.7336  -0.04
8 H 0.4475 0.3516 0.7534  -0.01
9 H 0.5525 0.6484 0.2466  -0.01
10 H 0.2009 0.3516 0.2466  -0.01
11 H 0.7991 0.6484 0.7534  -0.01

# 4
DFT (PBE) results for Ce3Sb2H after structural relaxation.

Output
SG   C2/c (15)
Excess energy over the best structure of this formula in the dataset   0.125 eV/atom

a b c (Å): 6.2840 8.5204 7.3630
angles (deg): 106.64 115.26 90.00
Site moments in Bohr magnetons follow the coordinates.
Fractional positions:
1 Ce 0.4644 0.2500 0.0000  0.96
2 Ce 0.5356 0.7500 0.0000  0.96
3 Ce 0.1395 0.0730 0.2841  1.03
4 Ce 0.8553 0.4270 0.7159  1.03
5 Ce 0.1447 0.5730 0.2841  1.03
6 Ce 0.8605 0.9270 0.7159  1.03
7 Sb 0.6812 0.5884 0.3572  -0.04
8 Sb 0.6759 0.0884 0.3572  -0.04
9 Sb 0.3241 0.9116 0.6428  -0.04
10 Sb 0.3188 0.4116 0.6428  -0.04
11 H 0.9308 0.7500 0.0000  -0.02
12 H 0.0692 0.2500 0.0000  -0.02